Entry 1:
Density functional theory data (PBE) for a geometry-optimized La2TbErS4 structure.

Lattice parameters (Å, degrees): 6.918 3.969 7.097 90.00 108.80 90.00
Atoms (fractional coordinates):
La  0.000  0.000  0.000
La  0.500  0.500  0.000
Tb  0.000  0.500  0.500
Er  0.500  0.000  0.500
S  0.246  0.000  0.729
S  0.261  0.500  0.273
S  0.739  0.500  0.727
S  0.754  0.000  0.271

**ρ**: 6.59 g/cm3
**Formation energy from raw total energies**: -48.0 kcal/mol of atoms
**SG**: P2/m

Entry 2:
Density functional theory data (PBE) for a geometry-optimized LaTbEr2S4 structure.

Lattice parameters (Å, degrees): 6.859 6.859 6.859 131.81 131.81 70.54
Atoms (fractional coordinates):
La  0.000  0.000  0.000
Tb  0.500  0.500  0.000
Er  0.250  0.750  0.500
Er  0.750  0.250  0.500
S  0.000  0.500  0.500
S  0.256  0.256  0.000
S  0.500  0.000  0.500
S  0.744  0.744  0.000

**ρ**: 7.19 g/cm3
**Formation energy from raw total energies**: -45.6 kcal/mol of atoms
**SG**: I4/mmm

Entry 3:
Density functional theory data (PBE) for a geometry-optimized LaTb2ErS6 structure.

Lattice parameters (Å, degrees): 7.408 7.408 7.408 56.61 56.61 56.61
Atoms (fractional coordinates):
La  0.000  0.000  0.000
Tb  0.288  0.288  0.288
Tb  0.793  0.793  0.793
Er  0.491  0.491  0.491
S  0.089  0.669  0.415
S  0.197  0.586  0.888
S  0.415  0.089  0.669
S  0.586  0.888  0.197
S  0.669  0.415  0.089
S  0.888  0.197  0.586

**ρ**: 5.12 g/cm3
**Formation energy from raw total energies**: -47.9 kcal/mol of atoms
**SG**: R3

Entry 4:
Density functional theory data (PBE) for a geometry-optimized La2ErTe2S2 structure.

Lattice parameters (Å, degrees): 8.903 8.903 8.903 146.99 146.99 47.38
Atoms (fractional coordinates):
La  0.117  0.117  0.000
La  0.883  0.883  0.000
Er  0.500  0.500  0.000
Te  0.316  0.316  0.000
Te  0.684  0.684  0.000
S  0.000  0.500  0.500
S  0.500  0.000  0.500

**ρ**: 6.08 g/cm3
**Formation energy from raw total energies**: -38.9 kcal/mol of atoms
**SG**: I4/mmm

Entry 5:
Density functional theory data (PBE) for a geometry-optimized La4Er3ThS8 structure.

Lattice parameters (Å, degrees): 8.111 8.111 8.111 59.32 59.32 59.32
Atoms (fractional coordinates):
La  0.000  0.000  0.000
La  0.000  0.500  0.500
La  0.500  0.000  0.500
La  0.500  0.500  0.000
Er  0.000  0.000  0.500
Er  0.000  0.500  0.000
Er  0.500  0.000  0.000
Th  0.500  0.500  0.500
S  0.235  0.748  0.748
S  0.242  0.242  0.242
S  0.252  0.252  0.765
S  0.252  0.765  0.252
S  0.748  0.235  0.748
S  0.748  0.748  0.235
S  0.758  0.758  0.758
S  0.765  0.252  0.252

**ρ**: 6.91 g/cm3
**Formation energy from raw total energies**: -47.1 kcal/mol of atoms
**SG**: R-3m

Entry 6:
Density functional theory data (PBE) for a geometry-optimized LaEr2ThS4 structure.

Lattice parameters (Å, degrees): 6.817 3.923 7.041 90.00 108.78 90.00
Atoms (fractional coordinates):
La  0.000  0.000  0.000
Er  0.000  0.500  0.500
Er  0.500  0.000  0.500
Th  0.500  0.500  0.000
S  0.246  0.000  0.729
S  0.260  0.500  0.273
S  0.740  0.500  0.727
S  0.754  0.000  0.271

**ρ**: 7.77 g/cm3
**Formation energy from raw total energies**: -45.5 kcal/mol of atoms
**SG**: P2/m

Entry 7:
Density functional theory data (PBE) for a geometry-optimized La2ErTl3S6 structure.

Lattice parameters (Å, degrees): 7.255 7.255 7.846 98.86 98.86 119.95
Atoms (fractional coordinates):
La  0.167  0.833  0.000
La  0.833  0.167  0.000
Er  0.500  0.500  0.000
Tl  0.000  0.000  0.500
Tl  0.333  0.667  0.500
Tl  0.667  0.333  0.500
S  0.115  0.433  0.800
S  0.249  0.249  0.204
S  0.433  0.115  0.800
S  0.567  0.885  0.200
S  0.751  0.751  0.796
S  0.885  0.567  0.200

**ρ**: 6.10 g/cm3
**Formation energy from raw total energies**: -34.8 kcal/mol of atoms
**SG**: C2/m

Entry 8:
Density functional theory data (PBE) for a geometry-optimized LaEr2Tl3S6 structure.

Lattice parameters (Å, degrees): 7.087 7.087 7.859 98.64 98.64 119.95
Atoms (fractional coordinates):
La  0.000  0.000  0.000
Er  0.333  0.667  0.000
Er  0.667  0.333  0.000
Tl  0.165  0.835  0.500
Tl  0.500  0.500  0.500
Tl  0.835  0.165  0.500
S  0.066  0.415  0.200
S  0.283  0.283  0.803
S  0.415  0.066  0.200
S  0.585  0.934  0.800
S  0.717  0.717  0.197
S  0.934  0.585  0.800

**ρ**: 6.51 g/cm3
**Formation energy from raw total energies**: -34.5 kcal/mol of atoms
**SG**: C2/m

Entry 9:
Density functional theory data (PBE) for a geometry-optimized La2ErTmS4 structure.

Lattice parameters (Å, degrees): 6.845 3.929 7.117 90.00 108.53 90.00
Atoms (fractional coordinates):
La  0.000  0.000  0.000
La  0.500  0.500  0.000
Er  0.000  0.500  0.500
Tm  0.500  0.000  0.500
S  0.242  0.000  0.724
S  0.260  0.500  0.276
S  0.740  0.500  0.724
S  0.758  0.000  0.276

**ρ**: 6.79 g/cm3
**Formation energy from raw total energies**: -47.6 kcal/mol of atoms
**SG**: P2/m

Entry 10:
Density functional theory data (PBE) for a geometry-optimized LaEr2TmS4 structure.

Lattice parameters (Å, degrees): 6.820 3.885 6.873 90.00 108.86 90.00
Atoms (fractional coordinates):
La  0.000  0.000  0.000
Er  0.500  0.000  0.500
Er  0.500  0.500  0.000
Tm  0.000  0.500  0.500
S  0.256  0.000  0.741
S  0.265  0.500  0.267
S  0.735  0.500  0.733
S  0.744  0.000  0.259

**ρ**: 7.42 g/cm3
**Formation energy from raw total energies**: -45.7 kcal/mol of atoms
**SG**: P2/m

Entry 11:
Density functional theory data (PBE) for a geometry-optimized LaErTm2S6 structure.

Lattice parameters (Å, degrees): 7.327 7.327 7.327 56.66 56.66 56.66
Atoms (fractional coordinates):
La  0.000  0.000  0.000
Er  0.490  0.490  0.490
Tm  0.288  0.288  0.288
Tm  0.793  0.793  0.793
S  0.080  0.661  0.423
S  0.190  0.578  0.894
S  0.423  0.080  0.661
S  0.578  0.894  0.190
S  0.661  0.423  0.080
S  0.894  0.190  0.578

**ρ**: 5.41 g/cm3
**Formation energy from raw total energies**: -47.9 kcal/mol of atoms
**SG**: R3

Entry 12:
Density functional theory data (PBE) for a geometry-optimized LaEr2TmS6 structure.

Lattice parameters (Å, degrees): 7.343 7.343 7.343 56.59 56.59 56.59
Atoms (fractional coordinates):
La  0.000  0.000  0.000
Er  0.288  0.288  0.288
Er  0.793  0.793  0.793
Tm  0.489  0.489  0.489
S  0.083  0.663  0.421
S  0.194  0.580  0.890
S  0.421  0.083  0.663
S  0.580  0.890  0.194
S  0.663  0.421  0.083
S  0.890  0.194  0.580

**ρ**: 5.37 g/cm3
**Formation energy from raw total energies**: -47.9 kcal/mol of atoms
**SG**: R3

What total magnetic moment values result from the calculations? In sequence: 0.00, 0.00, 0.00, 0.37, 0.00, 0.00, 0.00, 0.00, 0.00, 0.01, 0.00, 0.00 Bohr magnetons per cell.